Material: YCoIr2
Method: DFT, GGA-PBE
State: relaxed

a b c (Å): 2.865 3.842 5.985
angles (deg): 90.00 90.00 90.00
Site moments in Bohr magnetons follow the coordinates.
Sites, in units of the cell vectors:
Co 0.500 0.500 0.803  1.21
Ir 0.000 0.000 0.982  0.19
Ir 0.500 0.500 0.214  0.00
Y 0.000 0.000 0.501  -0.06

The value obtained for the spin magnetization is 1.32 μB/f.u. The value obtained for the energy above the most stable polymorph in this dataset is 122 meV per atom. Its energy of formation from the pure elements is -63 meV/atom.

Material: KTiSnO2
Method: DFT, GGA-PBE
State: relaxed

a b c (Å): 4.083 5.632 4.083
angles (deg): 90.00 90.00 90.00
Sites, in units of the cell vectors:
K 0.500 0.500 0.500
Sn 0.000 0.500 0.000
O 0.000 0.000 0.500
O 0.500 0.000 0.000
Ti 0.000 0.000 0.000

The value obtained for the spin magnetization is 0.00 μB/f.u. The formation energy (no corrections) comes out at -0.960 eV/atom.

Material: PmSmBe
Method: DFT, GGA-PBE
State: relaxed

a b c (Å): 3.565 3.565 6.577
angles (deg): 105.73 105.73 90.00
Sites, in units of the cell vectors:
Be 0.668 0.668 0.336
Sm 0.302 0.302 0.603
Pm 0.031 0.031 0.061

The value obtained for the spin magnetization is 0.00 μB/f.u. The value obtained for the energy above the most stable polymorph in this dataset is 0 meV per atom. Its energy of formation from the pure elements is 133 meV/atom.

Material: Co2HgPt
Method: DFT, GGA-PBE
State: relaxed

a b c (Å): 3.928 3.929 3.819
angles (deg): 90.00 90.00 90.00
Site moments in Bohr magnetons follow the coordinates.
Sites, in units of the cell vectors:
Co 0.000 0.000 0.000  1.80
Co 0.500 0.500 0.000  1.80
Hg 0.500 0.000 0.500  -0.02
Pt 0.000 0.500 0.500  0.16

The value obtained for the spin magnetization is 3.68 μB/f.u. Its energy of formation from the pure elements is 278 meV/atom.

Material: Li2DyAg2Hg2
Method: DFT, GGA-PBE
State: relaxed

a b c (Å): 4.775 4.775 7.728
angles (deg): 72.00 72.00 60.00
Sites, in units of the cell vectors:
Li 0.146 0.146 0.562
Li 0.854 0.854 0.438
Dy 0.000 0.000 0.000
Ag 0.568 0.568 0.295
Ag 0.432 0.432 0.705
Hg 0.731 0.731 0.806
Hg 0.269 0.269 0.193

The value obtained for the spin magnetization is 0.00 μB/f.u. Its energy of formation from the pure elements is -260 meV/atom.

Material: Ce4Bi5Br
Method: DFT, GGA-PBE
State: relaxed

a b c (Å): 4.805 8.237 9.413
angles (deg): 69.42 104.79 90.00
Site moments in Bohr magnetons follow the coordinates.
Sites, in units of the cell vectors:
Ce 0.341 0.950 0.681  0.80
Ce 0.035 0.741 0.070  0.94
Ce 0.659 0.050 0.319  0.80
Ce 0.965 0.259 0.930  0.94
Bi 0.852 0.668 0.705  -0.01
Bi 0.798 0.229 0.597  -0.04
Bi 0.202 0.771 0.403  -0.04
Bi 0.500 0.500 0.000  -0.01
Bi 0.148 0.332 0.295  -0.01
Br 0.500 0.000 0.000  -0.01

The value obtained for the spin magnetization is 4.01 μB/f.u. The formation energy (no corrections) comes out at -0.576 eV/atom.

Material: Sn2SbHPt
Method: DFT, GGA-PBE
State: relaxed

a b c (Å): 5.455 3.504 5.455
angles (deg): 90.00 90.00 90.00
Sites, in units of the cell vectors:
Sb 0.500 0.500 0.500
Sn 0.000 0.000 0.500
Sn 0.500 0.000 0.000
Pt 0.000 0.000 0.000
H 0.000 0.500 0.000

The value obtained for the spin magnetization is 0.00 μB/f.u. The total energy is -4.39 eV/atom.

Material: HoHgSe2
Method: DFT, GGA-PBE
State: relaxed

a b c (Å): 4.109 4.109 8.823
angles (deg): 76.54 76.54 60.00
Sites, in units of the cell vectors:
Hg 0.500 0.500 0.500
Se 0.105 0.105 0.684
Se 0.895 0.895 0.316
Ho 0.000 0.000 0.000

The value obtained for the spin magnetization is 0.00 μB/f.u. The value obtained for the energy above the most stable polymorph in this dataset is 841 meV per atom. The formation energy (no corrections) comes out at -0.202 eV/atom.

Material: P2PtI8
Method: DFT, GGA-PBE
State: relaxed

a b c (Å): 10.977 10.473 6.173
angles (deg): 96.16 89.73 44.06
Sites, in units of the cell vectors:
P 0.578 0.046 0.009
P 0.422 0.954 0.991
Pt 0.000 0.000 0.000
I 0.732 0.129 0.794
I 0.172 0.215 0.820
I 0.786 0.281 0.327
I 0.214 0.719 0.673
I 0.828 0.785 0.180
I 0.268 0.871 0.206
I 0.377 0.312 0.310
I 0.623 0.688 0.690

The value obtained for the spin magnetization is 0.00 μB/f.u. The formation energy (no corrections) comes out at -0.001 eV/atom.

Material: SiSn
Method: DFT, GGA-PBE
State: relaxed

a b c (Å): 7.466 7.466 7.466
angles (deg): 90.00 90.00 90.00
Sites, in units of the cell vectors:
Si 0.250 0.500 0.000
Si 0.750 0.500 0.000
Si 0.500 0.000 0.250
Si 0.500 0.000 0.750
Si 0.000 0.250 0.500
Si 0.000 0.750 0.500
Sn 0.250 0.000 0.500
Sn 0.750 0.000 0.500
Sn 0.000 0.500 0.250
Sn 0.000 0.500 0.750
Sn 0.500 0.250 0.000
Sn 0.500 0.750 0.000

The value obtained for the spin magnetization is 0.00 μB/f.u. The formation energy (no corrections) comes out at 0.321 eV/atom.

Material: CrReOs2
Method: DFT, GGA-PBE
State: relaxed

a b c (Å): 5.197 5.197 5.197
angles (deg): 147.94 129.85 60.77
Site moments in Bohr magnetons follow the coordinates.
Sites, in units of the cell vectors:
Cr 0.252 0.752 0.500  1.09
Os 0.027 0.027 0.000  -0.02
Os 0.745 0.245 0.500  0.07
Re 0.477 0.477 0.000  -0.07

The value obtained for the spin magnetization is 1.13 μB/f.u. The value obtained for the energy above the most stable polymorph in this dataset is 243 meV per atom. Its energy of formation from the pure elements is 318 meV/atom.

Material: TbCeY
Method: DFT, GGA-PBE
State: relaxed

a b c (Å): 4.129 4.129 6.351
angles (deg): 108.97 108.97 90.00
Site moments in Bohr magnetons follow the coordinates.
Sites, in units of the cell vectors:
Y 0.285 0.285 0.570  0.06
Tb 0.948 0.948 0.897  0.08
Ce 0.617 0.617 0.233  0.77

The value obtained for the spin magnetization is 1.18 μB/f.u. The value obtained for the energy above the most stable polymorph in this dataset is 128 meV per atom. Its energy of formation from the pure elements is 196 meV/atom.